{
  "formula": "PmBC",
  "functional": "GGA-PBE",
  "state": "relaxed",
  "sg": "P-1, No. 2",
  "rho_g_cm3": 5.964,
  "ef_ev_per_atom": -0.3547,
  "volume_a3_per_cell": 93.4,
  "de_polymorph_mev_per_atom": 0,
  "lattice_angstrom": [[3.760, 0.000, 0.000], [-0.003, 3.778, 0.000], [-1.844, -0.876, 6.578]],
  "species": ["Pm", "Pm", "B", "B", "C", "C"],
  "frac_coords": [[0.151, 0.193, 0.299], [0.849, 0.807, 0.701], [0.442, 0.385, 0.890], [0.558, 0.615, 0.110], [0.335, 0.296, 0.673], [0.665, 0.704, 0.327]]
}



{
  "formula": "Pm2B3C",
  "functional": "GGA-PBE",
  "state": "relaxed",
  "sg": "Fmmm, No. 69",
  "rho_g_cm3": 7.532,
  "ef_ev_per_atom": -0.2923,
  "volume_a3_per_cell": 147.5,
  "de_polymorph_mev_per_atom": 0,
  "lattice_angstrom": [[0.000, 4.182, 5.533], [3.186, 0.000, 5.533], [3.186, 4.182, 0.000]],
  "species": ["Pm", "Pm", "Pm", "Pm", "B", "B", "B", "B", "B", "B", "C", "C"],
  "frac_coords": [[0.245, 0.755, 0.245], [0.250, 0.250, 0.250], [0.750, 0.750, 0.750], [0.755, 0.245, 0.755], [0.174, 0.174, 0.826], [0.175, 0.649, 0.825], [0.351, 0.825, 0.649], [0.649, 0.175, 0.351], [0.825, 0.351, 0.175], [0.826, 0.826, 0.174], [0.334, 0.334, 0.666], [0.666, 0.666, 0.334]]
}